1.
Below is a relaxed Ho3Pd2 crystal, with properties calculated at the GGA-PBEsol level.

a = 3.864 Å, b = 7.623 Å, c = 7.623 Å
α = 90.00°, β = 90.00°, γ = 90.00°
Positions (direct):
Ho: 0.000 0.000 0.000
Ho: 0.500 0.335 0.835
Ho: 0.500 0.165 0.335
Ho: 0.500 0.835 0.665
Ho: 0.000 0.500 0.500
Ho: 0.500 0.665 0.165
Pd: 0.000 0.868 0.368
Pd: 0.000 0.132 0.632
Pd: 0.000 0.632 0.868
Pd: 0.000 0.368 0.132

Results
The calculated formation energy comes out at -731 meV/atom. The density of states at the Fermi level comes out at 0.764 states/eV per atom.

2.
Below is a relaxed YSb2TeC crystal, with properties calculated at the GGA-PBEsol level.

a = 5.624 Å, b = 5.718 Å, c = 5.718 Å
α = 90.00°, β = 90.00°, γ = 90.00°
Each line ends with the local moment (μB).
Positions (direct):
Sb: 0.000 0.500 0.000  -0.04
Sb: 0.000 0.000 0.500  -0.04
Y: 0.000 0.000 0.000  0.02
C: 0.500 0.500 0.500  0.93
Te: 0.500 0.000 0.000  0.02

Results
The density of states at the Fermi level comes out at 1.404 states/eV per atom. The calculation puts the formation energy without anion corrections at 1683.0 meV/atom.

3.
Below is a relaxed NaBiTe2 crystal, with properties calculated at the GGA-PBEsol level.

a = 4.467 Å, b = 4.467 Å, c = 6.199 Å
α = 90.00°, β = 90.00°, γ = 90.00°
Positions (direct):
Bi: 0.500 0.500 0.500
Te: 0.000 0.000 0.500
Te: 0.500 0.500 0.000
Na: 0.000 0.000 0.000

Results
The density of states at the Fermi level comes out at 0.460 states/eV per atom. The calculation puts the formation energy without anion corrections at -411.8 meV/atom.

4.
Below is a relaxed La2CdRh crystal, with properties calculated at the GGA-PBEsol level.

a = 3.630 Å, b = 3.630 Å, c = 7.630 Å
α = 90.00°, β = 90.00°, γ = 90.00°
Positions (direct):
La: 0.000 0.000 0.216
La: 0.000 0.000 0.784
Cd: 0.500 0.500 0.500
Rh: 0.500 0.500 0.000

Results
The calculated formation energy comes out at -452 meV/atom. The density of states at the Fermi level comes out at 0.979 states/eV per atom.

5.
Below is a relaxed CuPt crystal, with properties calculated at the GGA-PBEsol level.

a = 3.761 Å, b = 5.310 Å, c = 7.984 Å
α = 90.00°, β = 90.00°, γ = 90.00°
Positions (direct):
Pt: 0.000 0.507 0.345
Pt: 0.500 0.744 0.825
Pt: 0.500 0.244 0.175
Pt: 0.000 0.994 0.004
Pt: 0.000 0.007 0.655
Pt: 0.000 0.494 0.996
Cu: 0.500 0.759 0.498
Cu: 0.000 0.998 0.337
Cu: 0.500 0.259 0.502
Cu: 0.500 0.749 0.175
Cu: 0.500 0.249 0.825
Cu: 0.000 0.498 0.663

Results
The calculated formation energy comes out at -107 meV/atom. The density of states at the Fermi level comes out at 0.762 states/eV per atom.

6.
Below is a relaxed Ta2NbCu2 crystal, with properties calculated at the GGA-PBEsol level.

a = 3.781 Å, b = 3.781 Å, c = 6.240 Å
α = 107.64°, β = 107.64°, γ = 90.00°
Positions (direct):
Cu: 0.404 0.404 0.808
Cu: 0.596 0.596 0.192
Nb: 0.000 0.000 0.000
Ta: 0.750 0.250 0.500
Ta: 0.250 0.750 0.500

Results
The calculated formation energy comes out at 434 meV/atom. The density of states at the Fermi level comes out at 0.832 states/eV per atom.

7.
Below is a relaxed Mg3Cd crystal, with properties calculated at the GGA-PBEsol level.

a = 3.077 Å, b = 5.780 Å, c = 5.780 Å
α = 116.92°, β = 100.22°, γ = 100.22°
Positions (direct):
Cd: 0.000 0.000 0.000
Mg: 0.500 0.500 0.000
Mg: 0.500 0.000 0.500
Mg: 0.000 0.500 0.500

Results
The calculated formation energy comes out at -22 meV/atom. The density of states at the Fermi level comes out at 0.350 states/eV per atom.

8.
Below is a relaxed Cd2GaWBr crystal, with properties calculated at the GGA-PBEsol level.

a = 4.990 Å, b = 5.387 Å, c = 5.387 Å
α = 90.00°, β = 90.00°, γ = 90.00°
Each line ends with the local moment (μB).
Positions (direct):
Ga: 0.500 0.000 0.000  0.10
Cd: 0.000 0.000 0.500  0.05
Cd: 0.000 0.500 0.000  0.05
W: 0.000 0.000 0.000  1.87
Br: 0.500 0.500 0.500  0.16

Results
The density of states at the Fermi level comes out at 0.688 states/eV per atom. The calculation puts the formation energy without anion corrections at 1004.4 meV/atom.

9.
Below is a relaxed ScOs3I crystal, with properties calculated at the GGA-PBEsol level.

a = 4.741 Å, b = 4.741 Å, c = 4.741 Å
α = 90.00°, β = 90.00°, γ = 90.00°
Positions (direct):
I: 0.000 0.000 0.000
Os: 0.500 0.000 0.000
Os: 0.000 0.000 0.500
Os: 0.000 0.500 0.000
Sc: 0.500 0.500 0.500

Results
Its energy above the most stable polymorph in this dataset is 0.0 kJ/mol of atoms. The density of states at the Fermi level comes out at 1.050 states/eV per atom. The calculation puts the formation energy without anion corrections at 2179.4 meV/atom.

10.
Below is a relaxed Ba3ZnPt crystal, with properties calculated at the GGA-PBEsol level.

a = 6.058 Å, b = 6.058 Å, c = 6.058 Å
α = 90.00°, β = 90.00°, γ = 90.00°
Positions (direct):
Pt: 0.000 0.000 0.000
Ba: 0.000 0.500 0.000
Ba: 0.500 0.000 0.000
Ba: 0.000 0.000 0.500
Zn: 0.500 0.500 0.500

Results
The calculated formation energy comes out at -180 meV/atom. The density of states at the Fermi level comes out at 0.571 states/eV per atom.

11.
Below is a relaxed Zr2AgAu2 crystal, with properties calculated at the GGA-PBEsol level.

a = 3.505 Å, b = 7.441 Å, c = 7.441 Å
α = 90.00°, β = 90.00°, γ = 90.00°
Positions (direct):
Au: 0.000 0.369 0.869
Au: 0.000 0.131 0.369
Au: 0.000 0.631 0.131
Au: 0.000 0.869 0.631
Zr: 0.500 0.171 0.671
Zr: 0.500 0.829 0.329
Zr: 0.500 0.329 0.171
Zr: 0.500 0.671 0.829
Ag: 0.000 0.500 0.500
Ag: 0.000 0.000 0.000

Results
The calculated formation energy comes out at -406 meV/atom. The density of states at the Fermi level comes out at 0.689 states/eV per atom.

12.
Below is a relaxed KSiTe2 crystal, with properties calculated at the GGA-PBEsol level.

a = 3.999 Å, b = 3.999 Å, c = 6.933 Å
α = 90.00°, β = 90.00°, γ = 90.00°
Positions (direct):
Si: 0.500 0.500 0.500
Te: 0.000 0.000 0.283
Te: 0.000 0.000 0.717
K: 0.500 0.500 0.000

Results
The density of states at the Fermi level comes out at 0.444 states/eV per atom. The calculation puts the formation energy without anion corrections at -6.2 meV/atom.